A plane-wave DFT calculation with GGA-PBE was carried out for a relaxed EuTlSnPd crystal.

The structure belongs to space group F-43m (No. 216); the cell edges are 7.293, 7.293 and 7.293 Å and the angles 90.00°, 90.00° and 90.00°. Symmetry generates all atoms from Eu at (0.000, 0.000, 0.000), Tl at (0.250, 0.250, 0.750), Sn at (0.000, 0.000, 0.500) and Pd at (0.250, 0.250, 0.250).

Its calculated density is 9.96 g cm⁻³. The total energy comes out at -93.77 eV for the cell shown. The value obtained for the energy of formation is -0.402 eV per atom.


A plane-wave DFT calculation with GGA-PBE was carried out for a relaxed Na2Tl3CdI6 crystal.

The structure belongs to space group C2/m (No. 12); the cell edges are 8.262, 14.408 and 8.439 Å and the angles 90.00°, 108.68° and 90.00°. Symmetry generates all atoms from Na at (0.000, 0.166, 0.000), Tl at (0.000, 0.000, 0.500), Tl at (0.000, 0.331, 0.500), Cd at (0.000, 0.500, 0.000), I at (0.240, 0.000, 0.225) and I at (0.244, 0.331, 0.226).

Its calculated density is 5.35 g cm⁻³. For the formation energy from raw total energies, the calculation gives -72 kJ/mol of atoms. The total energy comes out at -57.89 eV for the cell shown.


A plane-wave DFT calculation with GGA-PBE was carried out for a relaxed CaHoRuAu crystal.

The structure belongs to space group F-43m (No. 216); the cell edges are 6.977, 6.977 and 6.977 Å and the angles 90.00°, 90.00° and 90.00°. Symmetry generates all atoms from Ca at (0.000, 0.000, 0.000), Ho at (0.000, 0.000, 0.500), Ru at (0.250, 0.250, 0.250) and Au at (0.250, 0.250, 0.750).

Its calculated density is 9.84 g cm⁻³. The total energy comes out at -82.55 eV for the cell shown. The value obtained for the energy of formation is -0.376 eV per atom.


A plane-wave DFT calculation with GGA-PBE was carried out for a relaxed Th3CN2 crystal.

The structure belongs to space group Cmcm (No. 63); the cell edges are 12.508, 7.466 and 5.334 Å and the angles 90.00°, 90.00° and 90.00°. Symmetry generates all atoms from Th at (0.000, 0.162, 0.250), Th at (0.172, 0.339, 0.750), C at (0.000, 0.187, 0.750) and N at (0.161, 0.340, 0.250).

Its calculated density is 9.82 g cm⁻³. For the formation energy from raw total energies, the calculation gives -93 kJ/mol of atoms. The total energy comes out at -215.61 eV for the cell shown.


Calculated size of the total moment, 27.77, 0.00, 0.00, 0.00 Bohr magnetons per cell (same order as the records).